No. 1
Mg2ScCdSb | PBE | optimized geometry

## Properties
D(E_F) = 0.906 states/eV/atom
calculated volume = 31.4 A^3/atom
E_form (uncorrected) = 0.523 eV per atom

abc: 5.2962 5.2962 5.5970
angles: 90.00 90.00 90.00
Space group P4/mmm (No. 123)
One atom of each set of equivalent atoms:
Mg  0.0000  0.5000  0.0000 (multiplicity 2)
Sc  0.0000  0.0000  0.5000 (multiplicity 1)
Cd  0.5000  0.5000  0.5000 (multiplicity 1)
Sb  0.5000  0.5000  0.0000 (multiplicity 1)



No. 2
MgCdSnSb | PBE | optimized geometry

## Properties
D(E_F) = 0.808 states/eV/atom
calculated volume = 25.3 A^3/atom
E_form (uncorrected) = 0.039 eV per atom

abc: 7.3980 7.3980 7.3980
angles: 90.00 90.00 90.00
Space group F-43m (No. 216)
One atom of each set of equivalent atoms:
Mg  0.0000  0.0000  0.0000 (multiplicity 4)
Cd  0.0000  0.0000  0.5000 (multiplicity 4)
Sn  0.2500  0.2500  0.2500 (multiplicity 4)
Sb  0.2500  0.2500  0.7500 (multiplicity 4)



No. 3
MgCdSb2Te | PBE | optimized geometry

## Properties
D(E_F) = 1.096 states/eV/atom
calculated volume = 32.2 A^3/atom
E_form (uncorrected) = 0.452 eV per atom
energy relative to the lowest polymorph listed for this composition = 0.000 eV per atom

abc: 5.4152 5.4152 5.4929
angles: 90.00 90.00 90.00
Space group P4/mmm (No. 123)
One atom of each set of equivalent atoms:
Mg  0.0000  0.0000  0.0000 (multiplicity 1)
Cd  0.5000  0.5000  0.5000 (multiplicity 1)
Sb  0.0000  0.5000  0.0000 (multiplicity 2)
Te  0.0000  0.0000  0.5000 (multiplicity 1)